TmZrC, optimized geometry, DFT GGA-PBE; space group = P3m1, No. 156; calculated formation energy = -412 meV per atom; energy above the lowest structure with this stoichiometry = 0.000 eV per formula unit; calculated density = 7.78 g/cm³
1.0
5.7244 0.0000 0.0000
0.0000 3.4228 0.0000
0.0000 -1.7114 2.9643
Tm Zr C
1 1 1
direct
0.5703 0.6667 0.3333
0.1150 0.0000 0.0000
0.3147 0.3333 0.6667



Ac4Ga3, optimized geometry, DFT GGA-PBE; space group = R-3, No. 148; calculated formation energy = -371 meV per atom; energy above the lowest structure with this stoichiometry = 0.327 eV per formula unit; calculated density = 7.95 g/cm³
1.0
8.7811 0.0000 0.0000
-2.9270 7.8336 0.0000
-2.9270 -3.9168 6.7841
Ga Ac
6 8
direct
0.1785 0.1059 0.7326
0.5541 0.7326 0.6267
0.9273 0.3733 0.1059
0.4459 0.2674 0.3733
0.8215 0.8941 0.2674
0.0727 0.6267 0.8941
0.7743 0.1360 0.6153
0.8409 0.6153 0.4793
0.1591 0.3847 0.5207
0.3616 0.5207 0.1360
0.5000 0.0000 0.0000
0.0000 0.0000 0.0000
0.2257 0.8640 0.3847
0.6384 0.4793 0.8640



no.,magnetization (μB/f.u.),E_tot (eV per atom)
1,0.2,-7.83
2,0.0,-4.02